(1)
VASP calculation (PBE-GGA) on an optimized crystal structure of SrTmMg.

Cell lengths 5.7499, 5.7499, 3.4982 Å; angles 90.00, 90.00, 120.00 degrees
With the nearest neighbours (Å) after each atom.
Atoms (fractional coordinates):
Sr (0.0000, 0.0000, 0.0000)  2 Sr 3.50, 3 Mg 3.50, 3 Tm 3.57
Tm (0.6667, 0.3333, 0.6230)  3 Mg 3.48, 2 Tm 3.50, 3 Sr 3.57
Mg (0.3333, 0.6667, 0.3213)  3 Tm 3.48, 2 Mg 3.50, 3 Sr 3.50

Calculated values
size of the total moment: 0.000 μB/atom
Fermi-level density of states: 1.096 states/eV per atom
excess energy over the best structure of this formula in the dataset: 150 meV/atom
crystal system: trigonal
energy of formation from the pure elements: 199 meV per atom


(2)
VASP calculation (PBE-GGA) on an optimized crystal structure of SrTmMg.

Cell lengths 7.4609, 7.4609, 7.4609 Å; angles 150.18, 150.18, 42.67 degrees
With the nearest neighbours (Å) after each atom.
Atoms (fractional coordinates):
Sr (0.0000, 0.0000, 0.0000)  4 Mg 3.60, 4 Sr 3.84, 4 Tm 3.92
Tm (0.2967, 0.2967, 0.0000)  4 Mg 3.24
Mg (0.6698, 0.6698, 0.0000)  4 Tm 3.24, 4 Sr 3.60

Calculated values
size of the total moment: 0.095 μB/atom
Fermi-level density of states: 1.286 states/eV per atom
excess energy over the best structure of this formula in the dataset: 31 meV/atom
crystal system: tetragonal
energy of formation from the pure elements: 80 meV per atom


(3)
VASP calculation (PBE-GGA) on an optimized crystal structure of SrTm2Mg.

Cell lengths 12.4467, 12.4467, 12.4467 Å; angles 16.40, 16.40, 16.40 degrees
With the nearest neighbours (Å) after each atom.
Atoms (fractional coordinates):
Sr (0.0000, 0.0000, 0.0000)  2 Tm 3.54, 6 Sr 3.55
Tm (0.0962, 0.0962, 0.0962)  3 Mg 3.31, 1 Sr 3.54, 6 Tm 3.55
Tm (0.9038, 0.9038, 0.9038)  3 Mg 3.31, 1 Sr 3.54, 6 Tm 3.55
Mg (0.5000, 0.5000, 0.5000)  6 Tm 3.31, 6 Mg 3.55

Calculated values
size of the total moment: 0.000 μB/atom
Fermi-level density of states: 1.360 states/eV per atom
excess energy over the best structure of this formula in the dataset: 193 meV/atom
crystal system: trigonal
energy of formation from the pure elements: 292 meV per atom


(4)
VASP calculation (PBE-GGA) on an optimized crystal structure of SrTmMg.

Cell lengths 14.8351, 14.8351, 14.8351 Å; angles 165.24, 165.24, 20.93 degrees
With the nearest neighbours (Å) after each atom.
Atoms (fractional coordinates):
Sr (0.0690, 0.0690, 0.0000)  4 Mg 3.59, 4 Sr 3.81
Sr (0.9310, 0.9310, 0.0000)  4 Mg 3.59, 4 Sr 3.81
Tm (0.2133, 0.2133, 0.0000)  4 Mg 3.27, 4 Tm 3.44
Tm (0.7867, 0.7867, 0.0000)  4 Mg 3.27, 4 Tm 3.44
Mg (0.3499, 0.3499, 0.0000)  4 Tm 3.27, 4 Sr 3.59
Mg (0.6501, 0.6501, 0.0000)  4 Tm 3.27, 4 Sr 3.59

Calculated values
size of the total moment: 0.000 μB/atom
Fermi-level density of states: 1.236 states/eV per atom
excess energy over the best structure of this formula in the dataset: 0 meV/atom
crystal system: tetragonal
energy of formation from the pure elements: 49 meV per atom


(5)
VASP calculation (PBE-GGA) on an optimized crystal structure of SrTmMg4.

Cell lengths 6.1964, 6.1964, 6.1964 Å; angles 60.00, 60.00, 60.00 degrees
With the nearest neighbours (Å) after each atom.
Atoms (fractional coordinates):
Sr (0.0000, 0.0000, 0.0000)  12 Mg 3.64, 4 Tm 3.79
Tm (0.2500, 0.2500, 0.2500)  12 Mg 3.63, 4 Sr 3.79
Mg (0.1279, 0.6240, 0.6240)  6 Mg 3.07-3.12
Mg (0.6240, 0.1279, 0.6240)  6 Mg 3.07-3.12
Mg (0.6240, 0.6240, 0.1279)  6 Mg 3.07-3.12
Mg (0.6240, 0.6240, 0.6240)  6 Mg 3.07-3.12

Calculated values
size of the total moment: 0.000 μB/atom
Fermi-level density of states: 0.904 states/eV per atom
crystal system: cubic
energy of formation from the pure elements: -33 meV per atom


(6)
VASP calculation (PBE-GGA) on an optimized crystal structure of SrTm2Mg.

Cell lengths 3.7697, 3.7697, 9.3211 Å; angles 90.00, 90.00, 90.00 degrees
With the nearest neighbours (Å) after each atom.
Atoms (fractional coordinates):
Sr (0.0000, 0.0000, 0.0000)  4 Sr 3.77, 8 Tm 3.92
Tm (0.5000, 0.5000, 0.3085)  4 Mg 3.21, 1 Tm 3.57
Tm (0.5000, 0.5000, 0.6915)  4 Mg 3.21, 1 Tm 3.57
Mg (0.0000, 0.0000, 0.5000)  8 Tm 3.21

Calculated values
size of the total moment: 0.000 μB/atom
Fermi-level density of states: 1.432 states/eV per atom
excess energy over the best structure of this formula in the dataset: 0 meV/atom
crystal system: tetragonal
energy of formation from the pure elements: 99 meV per atom


(7)
VASP calculation (PBE-GGA) on an optimized crystal structure of Sr4TmMg5.

Cell lengths 4.0439, 4.0439, 20.9540 Å; angles 90.00, 90.00, 90.00 degrees
With the nearest neighbours (Å) after each atom.
Atoms (fractional coordinates):
Sr (0.0000, 0.0000, 0.1048)  8 Mg 3.60-3.61
Sr (0.0000, 0.0000, 0.3141)  8 Mg 3.61-3.62, 1 Tm 3.89
Sr (0.0000, 0.0000, 0.6859)  8 Mg 3.61-3.62, 1 Tm 3.89
Sr (0.0000, 0.0000, 0.8952)  8 Mg 3.60-3.61
Tm (0.0000, 0.0000, 0.5000)  8 Mg 3.31
Mg (0.5000, 0.5000, 0.0000)  8 Sr 3.61
Mg (0.5000, 0.5000, 0.2091)  8 Sr 3.60-3.61
Mg (0.5000, 0.5000, 0.4204)  4 Tm 3.31, 1 Mg 3.33, 4 Sr 3.62
Mg (0.5000, 0.5000, 0.5796)  4 Tm 3.31, 1 Mg 3.33, 4 Sr 3.62
Mg (0.5000, 0.5000, 0.7909)  8 Sr 3.60-3.61

Calculated values
size of the total moment: 0.000 μB/atom
Fermi-level density of states: 0.943 states/eV per atom
crystal system: tetragonal
energy of formation from the pure elements: -41 meV per atom


(8)
VASP calculation (PBE-GGA) on an optimized crystal structure of SrTm2Mg9.

Cell lengths 10.4671, 10.4671, 10.4671 Å; angles 33.97, 33.97, 33.97 degrees
With the nearest neighbours (Å) after each atom.
Atoms (fractional coordinates):
Sr (0.0000, 0.0000, 0.0000)  6 Mg 3.53
Tm (0.1482, 0.1482, 0.1482)  12 Mg 3.40-3.57, 3 Tm 3.70
Tm (0.8518, 0.8518, 0.8518)  12 Mg 3.40-3.57, 3 Tm 3.70
Mg (0.0806, 0.5892, 0.5892)  7 Mg 2.98-3.11
Mg (0.3343, 0.3343, 0.3343)  6 Mg 3.10-3.11
Mg (0.4108, 0.4108, 0.9194)  7 Mg 2.98-3.11
Mg (0.4108, 0.9194, 0.4108)  7 Mg 2.98-3.11
Mg (0.5000, 0.5000, 0.5000)  6 Mg 2.98
Mg (0.5892, 0.0806, 0.5892)  7 Mg 2.98-3.11
Mg (0.5892, 0.5892, 0.0806)  7 Mg 2.98-3.11
Mg (0.6657, 0.6657, 0.6657)  6 Mg 3.10-3.11
Mg (0.9194, 0.4108, 0.4108)  7 Mg 2.98-3.11

Calculated values
size of the total moment: 0.000 μB/atom
Fermi-level density of states: 0.874 states/eV per atom
crystal system: trigonal
energy of formation from the pure elements: -45 meV per atom


(9)
VASP calculation (PBE-GGA) on an optimized crystal structure of SrTmMg2.

Cell lengths 5.6027, 5.6027, 5.6027 Å; angles 60.00, 60.00, 60.00 degrees
With the nearest neighbours (Å) after each atom.
Atoms (fractional coordinates):
Sr (0.0000, 0.0000, 0.0000)  8 Mg 3.43
Tm (0.5000, 0.5000, 0.5000)  8 Mg 3.43
Mg (0.2500, 0.2500, 0.2500)  4 Tm 3.43, 4 Sr 3.43
Mg (0.7500, 0.7500, 0.7500)  4 Tm 3.43, 4 Sr 3.43

Calculated values
size of the total moment: 0.000 μB/atom
Fermi-level density of states: 1.072 states/eV per atom
excess energy over the best structure of this formula in the dataset: 49 meV/atom
crystal system: cubic
energy of formation from the pure elements: 21 meV per atom


(10)
VASP calculation (PBE-GGA) on an optimized crystal structure of SrMg14V.

Cell lengths 6.5292, 6.5292, 10.4483 Å; angles 90.00, 90.00, 120.00 degrees
With the nearest neighbours (Å) after each atom.
Atoms (fractional coordinates):
Sr (0.0000, 0.0000, 0.0000)  12 Mg 3.27-3.37
Mg (0.0139, 0.5070, 0.0000)  10 Mg 3.13-3.40, 2 Sr 3.27
Mg (0.1668, 0.3337, 0.2678)  1 V 3.07, 10 Mg 3.08-3.35, 1 Sr 3.37
Mg (0.1668, 0.3337, 0.7322)  1 V 3.07, 10 Mg 3.08-3.35, 1 Sr 3.37
Mg (0.1668, 0.8332, 0.2678)  1 V 3.07, 10 Mg 3.08-3.35, 1 Sr 3.37
Mg (0.1668, 0.8332, 0.7322)  1 V 3.07, 10 Mg 3.08-3.35, 1 Sr 3.37
Mg (0.4930, 0.5070, 0.0000)  10 Mg 3.13-3.40, 2 Sr 3.27
Mg (0.4930, 0.9861, 0.0000)  10 Mg 3.13-3.40, 2 Sr 3.27
Mg (0.5029, 0.0057, 0.5000)  10 Mg 3.08-3.32, 2 V 3.26
Mg (0.5029, 0.4971, 0.5000)  10 Mg 3.08-3.32, 2 V 3.26
Mg (0.6663, 0.8332, 0.2678)  1 V 3.07, 10 Mg 3.08-3.35, 1 Sr 3.37
Mg (0.6663, 0.8332, 0.7322)  1 V 3.07, 10 Mg 3.08-3.35, 1 Sr 3.37
Mg (0.6667, 0.3333, 0.2380)  12 Mg 3.17-3.31
Mg (0.6667, 0.3333, 0.7620)  12 Mg 3.17-3.31
Mg (0.9943, 0.4971, 0.5000)  10 Mg 3.08-3.32, 2 V 3.26
V (0.0000, 0.0000, 0.5000)  12 Mg 3.07-3.26

Calculated values
size of the total moment: 0.228 μB/atom
Fermi-level density of states: 0.561 states/eV per atom
crystal system: hexagonal
energy of formation from the pure elements: 120 meV per atom


(11)
VASP calculation (PBE-GGA) on an optimized crystal structure of SrMgV3.

Cell lengths 5.1491, 5.1491, 5.1491 Å; angles 90.00, 90.00, 90.00 degrees
With the nearest neighbours (Å) after each atom.
Atoms (fractional coordinates):
Sr (0.0000, 0.0000, 0.0000)  12 V 3.64
Mg (0.5000, 0.5000, 0.5000)  6 V 2.57
V (0.0000, 0.5000, 0.5000)  2 Mg 2.57
V (0.5000, 0.0000, 0.5000)  2 Mg 2.57
V (0.5000, 0.5000, 0.0000)  2 Mg 2.57

Calculated values
size of the total moment: 2.299 μB/atom
Fermi-level density of states: 1.949 states/eV per atom
excess energy over the best structure of this formula in the dataset: 0 meV/atom
crystal system: cubic
energy of formation from the pure elements: 1450 meV per atom


(12)
VASP calculation (PBE-GGA) on an optimized crystal structure of SrMgV3.

Cell lengths 4.6384, 4.6384, 4.6384 Å; angles 90.00, 90.00, 90.00 degrees
With the nearest neighbours (Å) after each atom.
Atoms (fractional coordinates):
Sr (0.0000, 0.0000, 0.0000)  6 V 2.32
Mg (0.5000, 0.5000, 0.5000)  12 V 3.28
V (0.0000, 0.0000, 0.5000)  2 Sr 2.32
V (0.0000, 0.5000, 0.0000)  2 Sr 2.32
V (0.5000, 0.0000, 0.0000)  2 Sr 2.32

Calculated values
size of the total moment: 0.000 μB/atom
Fermi-level density of states: 1.325 states/eV per atom
excess energy over the best structure of this formula in the dataset: 808 meV/atom
crystal system: cubic
energy of formation from the pure elements: 2258 meV per atom


(13)
VASP calculation (PBE-GGA) on an optimized crystal structure of SrMg2V2.

Cell lengths 6.6905, 6.6905, 6.6905 Å; angles 139.47, 139.47, 58.66 degrees
With the nearest neighbours (Å) after each atom.
Atoms (fractional coordinates):
Sr (0.0000, 0.0000, 0.0000)  8 V 3.40, 8 Mg 3.73
Mg (0.2500, 0.7500, 0.5000)  4 V 3.06, 4 Mg 3.28
Mg (0.7500, 0.2500, 0.5000)  4 V 3.06, 4 Mg 3.28
V (0.4214, 0.4214, 0.0000)  1 V 1.83
V (0.5786, 0.5786, 0.0000)  1 V 1.83

Calculated values
size of the total moment: 0.000 μB/atom
Fermi-level density of states: 1.420 states/eV per atom
excess energy over the best structure of this formula in the dataset: 167 meV/atom
crystal system: tetragonal
energy of formation from the pure elements: 602 meV per atom